Record 1
Computed, not measured: a relaxed Ca2Cd2Mo crystal at the GGA-PBE level of DFT.

```
Ca2Cd2Mo
1.0
-2.828 -1.555 -3.352
3.661 -0.612 -2.805
1.146 -7.467 -0.733
Mo Ca Cd
1 2 2
Direct
0.000 0.000 0.000 Mo
0.750 0.250 0.500 Ca
0.250 0.750 0.500 Ca
0.403 0.403 0.195 Cd
0.597 0.597 0.805 Cd
```

## Properties
Density ... 4.50 g/cm³
Formation enthalpy at 0 K ... 799 meV per atom
Symmetry ... I4/mmm (139)

Record 2
Computed, not measured: a relaxed Ca4CdMo crystal at the GGA-PBE level of DFT.

```
Ca4CdMo
1.0
0.000 4.594 4.594
4.594 0.000 4.594
4.594 4.594 0.000
Ca Cd Mo
4 1 1
Direct
0.876 0.375 0.375 Ca
0.375 0.375 0.876 Ca
0.375 0.876 0.375 Ca
0.375 0.375 0.375 Ca
0.750 0.750 0.750 Cd
0.000 0.000 0.000 Mo
```

## Properties
Density ... 3.16 g/cm³
Formation enthalpy at 0 K ... 845 meV per atom
Symmetry ... F-43m (216)

Record 3
Computed, not measured: a relaxed CaCdMo3 crystal at the GGA-PBE level of DFT.

```
CaCdMo3
1.0
-1.592 -2.851 3.765
4.641 -1.680 0.690
0.875 3.727 3.192
Mo Ca Cd
3 1 1
Direct
0.000 0.500 0.000 Mo
0.000 0.000 0.500 Mo
0.500 0.000 0.000 Mo
0.500 0.500 0.500 Ca
0.000 0.000 0.000 Cd
```

## Properties
Density ... 5.91 g/cm³
Formation enthalpy at 0 K ... 2171 meV per atom
Symmetry ... Pm-3m (221)

Record 4
Computed, not measured: a relaxed Ca2CdMoN4 crystal at the GGA-PBE level of DFT.

```
Ca2CdMoN4
1.0
-0.903 -4.937 2.659
2.843 -3.108 -4.804
6.463 0.651 3.403
Ca Cd Mo N
4 2 2 8
Direct
0.485 0.318 0.252 Ca
0.485 0.318 0.748 Ca
0.985 0.682 0.752 Ca
0.985 0.682 0.248 Ca
0.991 0.168 0.500 Cd
0.491 0.832 0.000 Cd
0.501 0.830 0.500 Mo
0.001 0.170 0.000 Mo
0.328 0.157 0.000 N
0.828 0.843 0.500 N
0.388 0.105 0.500 N
0.888 0.895 0.000 N
0.410 0.683 0.715 N
0.910 0.317 0.215 N
0.910 0.317 0.785 N
0.410 0.683 0.285 N
```

## Properties
E_form (uncorrected) ... -646 meV/atom
Density ... 4.30 g/cm³
Symmetry ... Pmn2_1 (31)